1.
The following is a DFT calculation (GGA-PBE) of a geometry-optimized ZnPb3Cl2F6 structure.

Lattice parameters (Å, degrees): 5.595 7.154 7.359 119.08 83.23 90.00
Element x y z (fractional)
Zn 0.500 0.000 0.000
Pb 0.000 0.500 0.000
Pb 0.500 0.500 0.500
Pb 0.500 0.000 0.500
Cl 0.123 0.707 0.415
Cl 0.877 0.293 0.585
F 0.697 0.305 0.127
F 0.303 0.695 0.873
F 0.663 0.855 0.709
F 0.337 0.145 0.291
F 0.303 0.178 0.873
F 0.697 0.822 0.127

Energy relative to the elements, uncorrected in kcal/mol of atoms: -44.62
Total magnetization in μB per formula unit: 0.0
DOS at the Fermi energy in states/eV per atom: 0.000

2.
The following is a DFT calculation (GGA-PBE) of a geometry-optimized PdClF structure.

Lattice parameters (Å, degrees): 3.357 4.773 7.680 80.94 90.00 89.99
Element x y z (fractional)
Pd 0.822 0.062 0.851
Pd 0.323 0.062 0.351
Cl 0.823 0.281 0.166
Cl 0.823 0.844 0.535
F 0.322 0.299 0.747
F 0.322 0.826 0.955

Energy relative to the elements, uncorrected in kcal/mol of atoms: -16.33
Total magnetization in μB per formula unit: 0.6
Offset from the most stable computed form in eV per formula unit: 0.06
DOS at the Fermi energy in states/eV per atom: 0.519

3.
The following is a DFT calculation (GGA-PBE) of a geometry-optimized PdCl2F8 structure.

Lattice parameters (Å, degrees): 5.632 5.415 6.714 76.39 65.20 90.00
Element x y z (fractional)
F 0.338 0.937 0.798
F 0.864 0.937 0.798
F 0.662 0.063 0.202
F 0.398 0.579 0.203
F 0.136 0.063 0.202
F 0.916 0.636 0.168
F 0.084 0.364 0.832
F 0.602 0.421 0.797
Pd 0.000 0.000 0.000
Cl 0.741 0.526 0.518
Cl 0.259 0.474 0.482

Energy relative to the elements, uncorrected in kcal/mol of atoms: -17.96
Total magnetization in μB per formula unit: 0.9
DOS at the Fermi energy in states/eV per atom: 0.600

4.
The following is a DFT calculation (GGA-PBE) of a geometry-optimized PdClF3 structure.

Lattice parameters (Å, degrees): 4.176 4.176 4.176 90.00 90.00 90.00
Element x y z (fractional)
F 0.000 0.500 0.000
F 0.000 0.000 0.500
F 0.500 0.000 0.000
Pd 0.000 0.000 0.000
Cl 0.500 0.500 0.500

Energy relative to the elements, uncorrected in kcal/mol of atoms: -13.95
Total magnetization in μB per formula unit: 1.4
Offset from the most stable computed form in eV per formula unit: 1.78
DOS at the Fermi energy in states/eV per atom: 1.616

5.
The following is a DFT calculation (GGA-PBE) of a geometry-optimized PdCl2F2 structure.

Lattice parameters (Å, degrees): 5.589 5.589 6.607 90.00 90.00 90.00
Element x y z (fractional)
F 0.312 0.812 0.000
F 0.812 0.688 0.000
F 0.688 0.188 0.000
F 0.188 0.312 0.000
Pd 0.000 0.000 0.000
Pd 0.500 0.500 0.000
Cl 0.127 0.627 0.500
Cl 0.627 0.873 0.500
Cl 0.873 0.373 0.500
Cl 0.373 0.127 0.500

Energy relative to the elements, uncorrected in kcal/mol of atoms: -13.55
Total magnetization in μB per formula unit: 0.0
Offset from the most stable computed form in eV per formula unit: 0.00
DOS at the Fermi energy in states/eV per atom: 0.149

6.
The following is a DFT calculation (GGA-PBE) of a geometry-optimized PdClF structure.

Lattice parameters (Å, degrees): 5.103 8.255 6.511 129.23 89.74 90.02
Element x y z (fractional)
Pd 0.250 0.375 0.750
Pd 0.750 0.125 0.250
Pd 0.750 0.625 0.250
Pd 0.250 0.875 0.750
Cl 0.250 0.125 0.250
Cl 0.750 0.375 0.750
Cl 0.750 0.875 0.750
Cl 0.250 0.625 0.250
F 0.250 0.625 0.750
F 0.750 0.874 0.249
F 0.750 0.375 0.250
F 0.250 0.126 0.751

Energy relative to the elements, uncorrected in kcal/mol of atoms: -16.50
Total magnetization in μB per formula unit: 0.0
Offset from the most stable computed form in eV per formula unit: 0.04
DOS at the Fermi energy in states/eV per atom: 0.539

no.,mass density (g/cm3)
1,5.7
2,4.4
3,3.0
4,4.5
5,3.5
6,5.0